(1)
This record from the Alexandria database describes a relaxed structure of KRuSe4. The functional is GGA-PBEsol.

The structure in POSCAR format:
```
KRuSe4
1.0
-3.2493 4.3990 -1.6137
-3.7988 2.2201 3.6268
0.8811 5.1685 2.2414
K Ru Se
1 1 4
Direct
0.7500 0.7500 0.7500 K
0.0000 0.0000 0.0000 Ru
0.3740 0.3740 0.3740 Se
0.3740 0.3740 0.8780 Se
0.8780 0.3740 0.3740 Se
0.3740 0.8780 0.3740 Se
```

Symmetry ... F-43m, No. 216
Formation energy from raw total energies ... 0.676 eV per atom

(2)
This record from the Alexandria database describes a relaxed structure of TaZnI2N. The functional is GGA-PBEsol.

The structure in POSCAR format:
```
TaZnI2N
1.0
-0.5081 -2.2292 3.1516
-4.0584 -2.8176 -2.6472
3.7963 -3.6304 -1.9558
I Zn N Ta
2 1 1 1
Direct
0.0000 0.0000 0.5000 I
0.0000 0.5000 0.0000 I
0.5000 0.5000 0.5000 Zn
0.5000 0.0000 0.0000 N
0.0000 0.0000 0.0000 Ta
```

Symmetry ... P4/mmm, No. 123
Formation energy from raw total energies ... 0.105 eV per atom
E above lowest polymorph ... 0.000 eV/atom

(3)
This record from the Alexandria database describes a relaxed structure of La2SiRu. The functional is GGA-PBEsol.

The structure in POSCAR format:
```
La2SiRu
1.0
-1.0273 -3.1335 -2.5579
-0.1539 -3.9110 1.4484
-7.5694 -1.4198 1.3748
Ru Si La
1 1 2
Direct
0.5416 0.5416 0.3751 Ru
0.2082 0.2082 0.3753 Si
0.9593 0.9593 0.1222 La
0.7909 0.7909 0.6274 La
```

Symmetry ... R3m, No. 160
Formation energy from raw total energies ... -0.496 eV per atom

(4)
This record from the Alexandria database describes a relaxed structure of YSb2Ru. The functional is GGA-PBEsol.

The structure in POSCAR format:
```
YSb2Ru
1.0
-0.7762 -3.3977 0.3471
0.6402 -0.6350 -4.7847
4.7045 -0.9969 0.7618
Ru Sb Y
1 2 1
Direct
0.5000 0.5000 0.5000 Ru
0.0000 0.0000 0.5000 Sb
0.0000 0.5000 0.0000 Sb
0.5000 0.0000 0.0000 Y
```

Symmetry ... P4/mmm, No. 123
Formation energy from raw total energies ... -0.237 eV per atom

(5)
This record from the Alexandria database describes a relaxed structure of K2TcPb. The functional is GGA-PBEsol.

The structure in POSCAR format:
```
K2TcPb
1.0
3.2321 0.0000 0.0000
0.0000 4.3793 0.0000
-1.6161 -2.1896 10.0363
K Pb Tc
2 1 1
Direct
0.6480 0.6480 0.2960 K
0.3520 0.3520 0.7040 K
0.5000 0.0000 0.0000 Pb
0.0000 0.5000 0.0000 Tc
```

Energy of formation from the pure elements ... 2.4 eV per formula unit
Symmetry ... Immm, No. 71

(6)
This record from the Alexandria database describes a relaxed structure of LiCa2Tl. The functional is GGA-PBEsol.

The structure in POSCAR format:
```
LiCa2Tl
1.0
3.8485 0.0000 0.0000
0.0000 5.0786 0.0000
-1.9243 0.0000 5.9627
Tl Ca Li
1 2 1
Direct
0.6850 0.5000 0.3701 Tl
0.1053 0.0000 0.2106 Ca
0.4071 0.5000 0.8143 Ca
0.8152 0.0000 0.6303 Li
```

Energy of formation from the pure elements ... -1.0 eV per formula unit
Symmetry ... Amm2, No. 38
E above lowest polymorph ... 0.070 eV/atom

(7)
This record from the Alexandria database describes a relaxed structure of HgTe2Rh. The functional is GGA-PBEsol.

The structure in POSCAR format:
```
HgTe2Rh
1.0
-0.9565 -2.3065 1.8315
1.9619 -1.2885 2.0198
-2.8729 6.5120 9.3185
Te Rh Hg
2 1 1
Direct
0.9275 0.9275 0.2174 Te
0.0725 0.0725 0.7826 Te
0.0000 0.0000 0.0000 Rh
0.5000 0.5000 0.5000 Hg
```

Symmetry ... R-3m, No. 166
Formation energy from raw total energies ... 0.257 eV per atom
E above lowest polymorph ... 0.517 eV/atom

(8)
This record from the Alexandria database describes a relaxed structure of SrTc2Ag. The functional is GGA-PBEsol.

The structure in POSCAR format:
```
SrTc2Ag
1.0
-0.1055 0.2073 -2.6736
-4.7726 -2.1459 1.0261
0.4552 5.5901 1.2603
Ag Sr Tc
1 1 2
Direct
0.0000 0.5000 0.0000 Ag
0.5000 0.0000 0.0000 Sr
0.5000 0.5000 0.5000 Tc
0.0000 0.0000 0.5000 Tc
```

Energy of formation from the pure elements ... 3.5 eV per formula unit
Symmetry ... C2/m, No. 12
E above lowest polymorph ... 0.451 eV/atom

(9)
This record from the Alexandria database describes a relaxed structure of Sc2CoH. The functional is GGA-PBEsol.

The structure in POSCAR format:
```
Sc2CoH
1.0
-1.1825 2.2897 -2.4680
-3.3025 -0.3360 -1.3088
-3.7856 4.6044 3.5061
Sc H Co
2 1 1
Direct
0.9013 0.9013 0.2962 Sc
0.0987 0.0987 0.7038 Sc
0.0000 0.0000 0.0000 H
0.5000 0.5000 0.5000 Co
```

Symmetry ... R-3m, No. 166
E_tot ... -6.065 eV/atom

(10)
This record from the Alexandria database describes a relaxed structure of TlCu2Pt. The functional is GGA-PBEsol.

The structure in POSCAR format:
```
TlCu2Pt
1.0
3.8343 0.0000 0.0000
0.0000 3.8343 0.0000
-1.9171 -1.9171 4.0549
Cu Pt Tl
2 1 1
Direct
0.0000 0.0000 0.0000 Cu
0.7500 0.2500 0.5000 Cu
0.5000 0.5000 0.0000 Pt
0.2500 0.7500 0.5000 Tl
```

Energy of formation from the pure elements ... 0.2 eV per formula unit
Symmetry ... I-4m2, No. 119

(11)
This record from the Alexandria database describes a relaxed structure of BeZn2Re. The functional is GGA-PBEsol.

The structure in POSCAR format:
```
BeZn2Re
1.0
-2.3327 1.0708 0.4009
-0.1861 -2.5373 0.5256
1.9848 1.4465 7.6855
Re Zn Be
1 2 1
Direct
0.5000 0.5000 0.2721 Re
0.0000 0.0000 0.0010 Zn
0.5000 0.5000 0.7299 Zn
0.0000 0.0000 0.4969 Be
```

Energy of formation from the pure elements ... 0.8 eV per formula unit
Symmetry ... Cmm2, No. 35

(12)
This record from the Alexandria database describes a relaxed structure of Tl2MoBr. The functional is GGA-PBEsol.

The structure in POSCAR format:
```
Tl2MoBr
1.0
-0.4054 -2.8367 -1.2525
4.3597 0.7472 -3.1034
1.7300 -0.9235 5.4357
Tl Mo Br
2 1 1
Direct
0.9638 0.9266 0.9276 Tl
0.7639 0.2794 0.5277 Tl
0.2223 0.7873 0.4446 Mo
0.5501 0.5066 0.1001 Br
```

Symmetry ... Cm, No. 8
Formation energy from raw total energies ... 0.366 eV per atom

(13)
This record from the Alexandria database describes a relaxed structure of ZrCl2F. The functional is GGA-PBEsol.

The structure in POSCAR format:
```
ZrCl2F
1.0
-0.4370 -1.8713 3.6980
-4.8970 -4.7910 -0.6548
4.3268 -5.3496 0.1525
F Zr Cl
2 2 4
Direct
0.5000 0.0000 0.0000 F
0.2500 0.5000 0.5000 F
0.0000 0.0000 0.0000 Zr
0.7500 0.5000 0.5000 Zr
0.8750 0.1562 0.3438 Cl
0.3750 0.8438 0.6562 Cl
0.7812 0.3438 0.8438 Cl
0.9688 0.6562 0.1562 Cl
```

Symmetry ... I-42d, No. 122
Formation energy from raw total energies ... -2.168 eV per atom

(14)
This record from the Alexandria database describes a relaxed structure of TlHgMo2F. The functional is GGA-PBEsol.

The structure in POSCAR format:
```
TlHgMo2F
1.0
5.2538 0.0000 0.0000
0.0000 5.2538 0.0000
0.0000 0.0000 5.7003
Mo Tl Hg F
2 1 1 1
Direct
0.0000 0.5000 0.0000 Mo
0.5000 0.0000 0.0000 Mo
0.0000 0.0000 0.5000 Tl
0.0000 0.0000 0.0000 Hg
0.5000 0.5000 0.5000 F
```

Symmetry ... P4/mmm, No. 123
Formation energy from raw total energies ... 1.800 eV per atom

(15)
This record from the Alexandria database describes a relaxed structure of Mg2GaSbH. The functional is GGA-PBEsol.

The structure in POSCAR format:
```
Mg2GaSbH
1.0
-4.2141 2.4843 -1.9152
-2.1627 -4.4310 -0.9889
-2.0830 -0.0048 4.5771
Sb Mg Ga H
1 2 1 1
Direct
0.5000 0.0000 0.0000 Sb
0.0000 0.0000 0.5000 Mg
0.0000 0.5000 0.0000 Mg
0.0000 0.0000 0.0000 Ga
0.5000 0.5000 0.5000 H
```

Symmetry ... P4/mmm, No. 123
E_tot ... -2.249 eV/atom

(16)
This record from the Alexandria database describes a relaxed structure of TaReW2. The functional is GGA-PBEsol.

The structure in POSCAR format:
```
TaReW2
1.0
-2.9788 -1.0455 -0.1168
0.9882 -2.4130 -3.6036
2.1116 -1.7451 4.4928
Re W Ta
1 2 1
Direct
0.0000 0.5000 0.0000 Re
0.7481 0.7481 0.4962 W
0.2519 0.2519 0.5038 W
0.5000 0.0000 0.0000 Ta
```

Energy of formation from the pure elements ... -0.5 eV per formula unit
Symmetry ... Immm, No. 71
E above lowest polymorph ... 0.012 eV/atom

(17)
This record from the Alexandria database describes a relaxed structure of LaNiGe2. The functional is GGA-PBEsol.

The structure in POSCAR format:
```
LaNiGe2
1.0
4.2126 0.0000 0.0000
0.0000 4.2571 0.0000
0.0000 2.1285 8.3530
Ni Ge La
2 4 2
Direct
0.7500 0.8177 0.3645 Ni
0.2500 0.1823 0.6355 Ni
0.2500 0.0428 0.9144 Ge
0.7500 0.9572 0.0856 Ge
0.2500 0.7500 0.5000 Ge
0.7500 0.2500 0.5000 Ge
0.7500 0.6087 0.7827 La
0.2500 0.3913 0.2173 La
```

Energy of formation from the pure elements ... -3.3 eV per formula unit
Symmetry ... Cmcm, No. 63

(18)
This record from the Alexandria database describes a relaxed structure of PdWS2. The functional is GGA-PBEsol.

The structure in POSCAR format:
```
PdWS2
1.0
5.5020 0.0000 0.0000
-2.7510 5.6885 0.0204
0.0000 2.6435 4.8253
S Pd W
4 2 2
Direct
0.1120 0.7500 0.8750 S
0.6380 0.7500 0.3750 S
0.3750 0.2500 0.1120 S
0.8750 0.2500 0.6380 S
0.2500 0.5000 0.2500 Pd
0.5000 0.0000 0.5000 Pd
0.7500 0.5000 0.7500 W
0.0000 0.0000 0.0000 W
```

Symmetry ... I-42d, No. 122
Formation energy from raw total energies ... -0.083 eV per atom

(19)
This record from the Alexandria database describes a relaxed structure of Li3ZnCu. The functional is GGA-PBEsol.

The structure in POSCAR format:
```
Li3ZnCu
1.0
-0.9784 3.8967 2.0854
-2.4171 -2.2599 3.0887
3.7000 -0.4459 2.5692
Zn Cu Li
1 1 3
Direct
0.5000 0.5000 0.5000 Zn
0.0000 0.0000 0.0000 Cu
0.0000 0.5000 0.0000 Li
0.0000 0.0000 0.5000 Li
0.5000 0.0000 0.0000 Li
```

Energy of formation from the pure elements ... 1.7 eV per formula unit
Symmetry ... Pm-3m, No. 221

(20)
This record from the Alexandria database describes a relaxed structure of Co2SiBN. The functional is GGA-PBEsol.

The structure in POSCAR format:
```
Co2SiBN
1.0
3.4399 0.0000 0.0000
0.0000 3.7202 0.0000
0.0000 0.0000 3.7202
Si B Co N
1 1 2 1
Direct
0.5000 0.0000 0.0000 Si
0.5000 0.5000 0.5000 B
0.0000 0.0000 0.5000 Co
0.0000 0.5000 0.0000 Co
0.0000 0.0000 0.0000 N
```

Symmetry ... P4/mmm, No. 123
Formation energy from raw total energies ... 0.554 eV per atom

(21)
This record from the Alexandria database describes a relaxed structure of Ag2AsPt. The functional is GGA-PBEsol.

The structure in POSCAR format:
```
Ag2AsPt
1.0
2.8523 0.0000 -0.0029
0.0000 4.3333 0.0000
-1.4257 0.0000 5.3217
As Pt Ag
1 1 2
Direct
0.1940 0.0000 0.5131 As
0.3063 0.5000 0.7370 Pt
0.9335 0.0000 0.9925 Ag
0.5662 0.5000 0.2574 Ag
```

Energy of formation from the pure elements ... -0.1 eV per formula unit
Symmetry ... Amm2, No. 38

(22)
This record from the Alexandria database describes a relaxed structure of NbFeBr2N. The functional is GGA-PBEsol.

The structure in POSCAR format:
```
NbFeBr2N
1.0
-2.8305 0.3100 -1.8046
-2.5933 -2.3497 3.6639
-0.9209 4.4646 2.2114
Nb Fe Br N
1 1 2 1
Direct
0.5000 0.5000 0.5000 Nb
0.5000 0.0000 0.0000 Fe
0.0000 0.0000 0.5000 Br
0.0000 0.5000 0.0000 Br
0.0000 0.0000 0.0000 N
```

Symmetry ... P4/mmm, No. 123
Formation energy from raw total energies ... 0.890 eV per atom

(23)
This record from the Alexandria database describes a relaxed structure of CsB3Cl. The functional is GGA-PBEsol.

The structure in POSCAR format:
```
CsB3Cl
1.0
-3.0744 -1.8454 3.2482
-0.1592 -4.1381 -2.5017
3.7324 -1.6966 2.5688
Cs B Cl
1 3 1
Direct
0.5000 0.5000 0.5000 Cs
0.0000 0.5000 0.0000 B
0.0000 0.0000 0.5000 B
0.5000 0.0000 0.0000 B
0.0000 0.0000 0.0000 Cl
```

Symmetry ... Pm-3m, No. 221
Formation energy from raw total energies ... 2.401 eV per atom

(24)
This record from the Alexandria database describes a relaxed structure of Ba2GaSbSe5. The functional is GGA-PBEsol.

The structure in POSCAR format:
```
Ba2GaSbSe5
1.0
-5.1084 6.0133 4.4563
-5.2759 1.0443 -7.4572
-7.4754 -9.3043 3.9858
Ba Ga Sb Se
8 4 4 20
Direct
0.0068 0.1224 0.8237 Ba
0.4932 0.3776 0.3237 Ba
0.5068 0.8776 0.1763 Ba
0.9932 0.6224 0.6763 Ba
0.9932 0.8776 0.1763 Ba
0.5068 0.6224 0.6763 Ba
0.4932 0.1224 0.8237 Ba
0.0068 0.3776 0.3237 Ba
0.2500 0.3342 0.5958 Ga
0.2500 0.1658 0.0958 Ga
0.7500 0.6658 0.4042 Ga
0.7500 0.8342 0.9042 Ga
0.2500 0.9747 0.5244 Sb
0.2500 0.5253 0.0244 Sb
0.7500 0.0253 0.4756 Sb
0.7500 0.4747 0.9756 Sb
0.0400 0.1764 0.5558 Se
0.4600 0.3236 0.0558 Se
0.5400 0.8236 0.4442 Se
0.9600 0.6764 0.9442 Se
0.9600 0.8236 0.4442 Se
0.5400 0.6764 0.9442 Se
0.4600 0.1764 0.5558 Se
0.0400 0.3236 0.0558 Se
0.2500 0.8816 0.7187 Se
0.2500 0.6184 0.2187 Se
0.7500 0.1184 0.2813 Se
0.7500 0.3816 0.7813 Se
0.2500 0.3898 0.7811 Se
0.2500 0.1102 0.2811 Se
0.7500 0.6102 0.2189 Se
0.7500 0.8898 0.7189 Se
0.2500 0.9548 0.9897 Se
0.2500 0.5452 0.4897 Se
0.7500 0.0452 0.0103 Se
0.7500 0.4548 0.5103 Se
```

Symmetry ... Pnma, No. 62
Formation energy from raw total energies ... -1.208 eV per atom

(25)
This record from the Alexandria database describes a relaxed structure of ZnCdPb2. The functional is GGA-PBEsol.

The structure in POSCAR format:
```
ZnCdPb2
1.0
3.4103 0.0000 0.0000
1.7051 2.9534 0.0000
1.7051 0.9845 9.7007
Pb Zn Cd
2 1 1
Direct
0.9948 0.9948 0.0154 Pb
0.7605 0.7605 0.7185 Pb
0.5055 0.5055 0.4834 Zn
0.2391 0.2391 0.2826 Cd
```

Energy of formation from the pure elements ... 0.5 eV per formula unit
Symmetry ... R3m, No. 160
E above lowest polymorph ... 0.024 eV/atom

(26)
This record from the Alexandria database describes a relaxed structure of ZrSb2RuI. The functional is GGA-PBEsol.

The structure in POSCAR format:
```
ZrSb2RuI
1.0
5.4664 0.0000 0.0000
0.0000 5.4664 0.0000
0.0000 0.0000 5.4409
I Sb Zr Ru
1 2 1 1
Direct
0.0000 0.0000 0.5000 I
0.0000 0.5000 0.0000 Sb
0.5000 0.0000 0.0000 Sb
0.0000 0.0000 0.0000 Zr
0.5000 0.5000 0.5000 Ru
```

Symmetry ... P4/mmm, No. 123
Formation energy from raw total energies ... 1.173 eV per atom

(27)
This record from the Alexandria database describes a relaxed structure of Zr2InW. The functional is GGA-PBEsol.

The structure in POSCAR format:
```
Zr2InW
1.0
2.9221 0.0000 0.0000
-1.4611 4.9333 0.0013
0.0000 -0.4926 5.4808
In W Zr
1 1 2
Direct
0.0000 0.0000 0.5000 In
0.5000 0.0000 0.0000 W
0.7451 0.4902 0.7590 Zr
0.2549 0.5098 0.2410 Zr
```

Energy of formation from the pure elements ... 0.7 eV per formula unit
Symmetry ... C2/m, No. 12